(1)
{"formula": "Nb2SbC", "functional": "PBE", "state": "optimized geometry", "lattice": [[-2.711, 2.711, 5.655], [2.711, -2.711, 5.655], [2.711, 2.711, -5.655]], "species": ["Nb", "Nb", "Nb", "Nb", "Sb", "Sb", "C", "C"], "fractional_positions": [[0.006, 0.625, 0.881], [0.375, 0.256, 0.381], [0.744, 0.125, 0.119], [0.875, 0.994, 0.619], [0.250, 0.750, 0.500], [0.500, 0.500, 0.000], [0.000, 0.000, 0.000], [0.750, 0.250, 0.500]], "e_form_raw_ev_per_atom": 0.350, "total_magnetization_mub_per_fu": 0.00, "final_energy_ev_per_atom": -8.02}

(2)
{"formula": "Co2CuAu", "functional": "PBE", "state": "optimized geometry", "lattice": [[4.433, -1.337, 0.000], [4.433, 1.337, 0.000], [-0.817, 0.000, 4.451]], "species": ["Co", "Co", "Cu", "Au"], "fractional_positions": [[0.247, 0.247, 0.230], [0.753, 0.753, 0.770], [0.500, 0.500, 0.000], [0.000, 0.000, 0.500]], "formation_energy_mev_per_atom": 223, "total_magnetization_mub_per_fu": 3.42, "final_energy_ev_per_atom": -5.17}

(3)
{"formula": "TlCr2AgW", "functional": "PBE", "state": "optimized geometry", "lattice": [[4.635, 0.000, 0.000], [0.000, 4.635, 0.000], [0.000, 0.000, 4.901]], "species": ["Tl", "Cr", "Cr", "Ag", "W"], "fractional_positions": [[0.000, 0.000, 0.000], [0.000, 0.500, 0.500], [0.500, 0.000, 0.500], [0.500, 0.500, 0.500], [0.500, 0.500, 0.000]], "formation_energy_mev_per_atom": 2383, "total_magnetization_mub_per_fu": 0.57, "final_energy_ev_per_atom": -5.10}

(4)
{"formula": "YSc2Ni", "functional": "PBE", "state": "optimized geometry", "lattice": [[5.699, -1.729, 0.000], [5.699, 1.729, 0.000], [-2.183, 0.000, 4.487]], "species": ["Y", "Sc", "Sc", "Ni"], "fractional_positions": [[0.000, 0.000, 0.000], [0.601, 0.601, 0.601], [0.797, 0.797, 0.297], [0.287, 0.287, 0.782]], "formation_energy_mev_per_atom": -160, "total_magnetization_mub_per_fu": 0.00, "final_energy_ev_per_atom": -6.39}

- What is the formula in the fourth record?
  YSc2Ni

- Which formula does entry 4 have?
  YSc2Ni

Copy entry 4 word for word.
{"formula": "YSc2Ni", "functional": "PBE", "state": "optimized geometry", "lattice": [[5.699, -1.729, 0.000], [5.699, 1.729, 0.000], [-2.183, 0.000, 4.487]], "species": ["Y", "Sc", "Sc", "Ni"], "fractional_positions": [[0.000, 0.000, 0.000], [0.601, 0.601, 0.601], [0.797, 0.797, 0.297], [0.287, 0.287, 0.782]], "formation_energy_mev_per_atom": -160, "total_magnetization_mub_per_fu": 0.00, "final_energy_ev_per_atom": -6.39}